1.
# DyTaBi

A geometry-optimized DyTaBi structure (GGA-PBE, OQMD).

Values from the calculation:
polymorph energy (0 for the lowest one) = 407.7 meV/atom
symmetry = F-43m (216)

Cell lengths 4.884, 4.884, 4.884 Å; angles 60.00, 60.00, 60.00 degrees
Sites, in units of the cell vectors:
1 Dy 0.000 0.000 0.000
2 Ta 0.500 0.500 0.500
3 Bi 0.250 0.250 0.250

2.
# TbDy4Bi5

A geometry-optimized TbDy4Bi5 structure (GGA-PBE, OQMD).

Values from the calculation:
VASP energy = -52.1 eV for the cell shown
symmetry = I4/mmm (139)

Cell lengths 16.100, 16.100, 16.100 Å; angles 164.06, 164.06, 22.62 degrees
Sites, in units of the cell vectors:
1 Tb 0.000 0.000 0.000
2 Dy 0.200 0.200 0.000
3 Dy 0.400 0.400 0.000
4 Dy 0.600 0.600 0.000
5 Dy 0.800 0.800 0.000
6 Bi 0.100 0.100 0.000
7 Bi 0.300 0.300 0.000
8 Bi 0.500 0.500 0.000
9 Bi 0.700 0.700 0.000
10 Bi 0.900 0.900 0.000